1.
Material: La4Sb3As
Method: DFT, PBE-GGA
State: optimized geometry

Cell lengths 4.5609, 7.9098, 7.9098 Å; angles 109.39, 90.00, 90.00 degrees
Closest atoms and distances in Å follow each position.
Sites, in units of the cell vectors:
Sb1 0.0000 0.0000 0.5000  6 La 3.23
Sb2 0.5000 0.5000 0.5000  6 La 3.29-3.30
Sb3 0.0000 0.5000 0.0000  6 La 3.23
As1 0.5000 0.0000 0.0000  6 La 3.16
La1 0.0000 0.2400 0.2400  2 As 3.16, 4 Sb 3.23-3.29
La2 0.5000 0.7554 0.2446  1 As 3.16, 5 Sb 3.23-3.30
La3 0.0000 0.7600 0.7600  2 As 3.16, 4 Sb 3.23-3.29
La4 0.5000 0.2446 0.7554  1 As 3.16, 5 Sb 3.23-3.30

Properties
Formation energy without anion corrections (kJ per mole of atoms): -128.79
Raw total energy (eV/cell): -47.405
Spin magnetization (Bohr magnetons per cell): 0.0

---

2.
Material: LaSbAs3
Method: DFT, PBE-GGA
State: optimized geometry

Cell lengths 5.6055, 5.6055, 5.6055 Å; angles 90.00, 90.00, 90.00 degrees
Closest atoms and distances in Å follow each position.
Sites, in units of the cell vectors:
Sb1 0.5000 0.5000 0.5000  12 As 3.96
As1 0.0000 0.5000 0.0000  2 La 2.80
As2 0.0000 0.0000 0.5000  2 La 2.80
As3 0.5000 0.0000 0.0000  2 La 2.80
La1 0.0000 0.0000 0.0000  6 As 2.80

Properties
Formation energy without anion corrections (kJ per mole of atoms): 70.04
Raw total energy (eV/cell): -19.369
Relative energy among the computed polymorphs (meV/atom): 664
Spin magnetization (Bohr magnetons per cell): 0.0

---

3.
Material: LaSb2As
Method: DFT, PBE-GGA
State: optimized geometry

Cell lengths 6.2897, 6.2897, 4.7270 Å; angles 85.25, 85.25, 39.02 degrees
Closest atoms and distances in Å follow each position.
Sites, in units of the cell vectors:
Sb1 0.0110 0.0110 0.9348  2 As 2.80, 1 Sb 2.83
Sb2 0.7765 0.7765 0.8614  1 Sb 2.83
As1 0.4971 0.4971 0.3281  2 Sb 2.80
La1 0.2154 0.2154 0.3757  6 Sb 3.24-3.43, 3 As 3.33-3.36

Properties
Formation energy without anion corrections (kJ per mole of atoms): -60.37
Raw total energy (eV/cell): -20.325
Spin magnetization (Bohr magnetons per cell): 0.0

---

4.
Material: La2SbAs
Method: DFT, PBE-GGA
State: optimized geometry

Cell lengths 4.4900, 4.4900, 7.8245 Å; angles 73.33, 73.33, 60.00 degrees
Closest atoms and distances in Å follow each position.
Sites, in units of the cell vectors:
Sb1 0.7500 0.7500 0.7500  6 La 3.25
As1 0.2500 0.2500 0.2500  6 La 3.12
La1 0.9951 0.9951 0.0150  3 As 3.12, 3 Sb 3.25
La2 0.5049 0.5049 0.4850  3 As 3.12, 3 Sb 3.25

Properties
Formation energy without anion corrections (kJ per mole of atoms): -136.32
Raw total energy (eV/cell): -24.278
Spin magnetization (Bohr magnetons per cell): 0.0

---

5.
Material: LaSb2As
Method: DFT, PBE-GGA
State: optimized geometry

Cell lengths 6.4741, 6.4741, 4.5089 Å; angles 95.54, 95.54, 38.70 degrees
Closest atoms and distances in Å follow each position.
Sites, in units of the cell vectors:
Sb1 0.9776 0.9776 0.0264  1 As 2.93, 2 Sb 2.96
Sb2 0.5224 0.5224 0.4736  1 As 2.93, 2 Sb 2.96
As1 0.7500 0.7500 0.7500  2 Sb 2.93, 4 La 3.11
La1 0.2500 0.2500 0.2500  4 As 3.11, 2 Sb 3.38

Properties
Formation energy without anion corrections (kJ per mole of atoms): -64.73
Raw total energy (eV/cell): -20.505
Spin magnetization (Bohr magnetons per cell): 0.0

---

6.
Material: LaSbAs3
Method: DFT, PBE-GGA
State: optimized geometry

Cell lengths 5.2317, 5.2317, 5.2317 Å; angles 90.00, 90.00, 90.00 degrees
Closest atoms and distances in Å follow each position.
Sites, in units of the cell vectors:
Sb1 0.0000 0.0000 0.0000  6 As 2.62
As1 0.0000 0.5000 0.0000  2 Sb 2.62
As2 0.0000 0.0000 0.5000  2 Sb 2.62
As3 0.5000 0.0000 0.0000  2 Sb 2.62
La1 0.5000 0.5000 0.5000  12 As 3.70

Properties
Formation energy without anion corrections (kJ per mole of atoms): 6.01
Raw total energy (eV/cell): -22.687
Relative energy among the computed polymorphs (meV/atom): 0
Spin magnetization (Bohr magnetons per cell): 0.0

---

Copy entry 3 word for word.
Material: LaSb2As
Method: DFT, PBE-GGA
State: optimized geometry

Cell lengths 6.2897, 6.2897, 4.7270 Å; angles 85.25, 85.25, 39.02 degrees
Closest atoms and distances in Å follow each position.
Sites, in units of the cell vectors:
Sb1 0.0110 0.0110 0.9348  2 As 2.80, 1 Sb 2.83
Sb2 0.7765 0.7765 0.8614  1 Sb 2.83
As1 0.4971 0.4971 0.3281  2 Sb 2.80
La1 0.2154 0.2154 0.3757  6 Sb 3.24-3.43, 3 As 3.33-3.36

Properties
Formation energy without anion corrections (kJ per mole of atoms): -60.37
Raw total energy (eV/cell): -20.325
Spin magnetization (Bohr magnetons per cell): 0.0